{"formula": "KFe4Cu", "functional": "PBE-GGA", "state": "relaxed", "lattice_angstrom": [[0.0000, 3.5980, 3.5980], [3.5980, 0.0000, 3.5980], [3.5980, 3.5980, 0.0000]], "species": ["Fe", "Fe", "Fe", "Fe", "K", "Cu"], "frac_coords": [[0.3741, 0.3741, 0.8776], [0.3741, 0.8776, 0.3741], [0.8776, 0.3741, 0.3741], [0.3741, 0.3741, 0.3741], [0.7500, 0.7500, 0.7500], [0.0000, 0.0000, 0.0000]], "formation_energy_kj_per_mol_fu": 465, "dft_energy_ev_per_cell": -34.2, "mass_density_g_cm3": 5.8}

=====

{"formula": "CaFe2Se", "functional": "PBE-GGA", "state": "relaxed", "lattice_angstrom": [[5.6939, 0.0207, 0.0132], [4.1696, 3.8775, 0.0132], [4.1696, 1.6479, 3.5099]], "species": ["Ca", "Se", "Fe", "Fe"], "frac_coords": [[0.7500, 0.7500, 0.7500], [0.2500, 0.2500, 0.2500], [0.9330, 0.9330, 0.9330], [0.5670, 0.5670, 0.5670]], "dft_energy_ev_per_cell": -22.7, "mass_density_g_cm3": 5.0, "e_above_lowest_polymorph_mev_per_atom": 138, "formation_energy_uncorrected_mev_per_atom": -79}

=====

{"formula": "RbMgSnAs2", "functional": "PBE-GGA", "state": "relaxed", "lattice_angstrom": [[4.9153, 0.0000, 0.0000], [-2.4576, 6.9067, 0.1400], [0.0000, -1.5128, 9.8235]], "species": ["As", "As", "As", "As", "Mg", "Mg", "Sn", "Sn", "Rb", "Rb"], "frac_coords": [[0.1297, 0.2594, 0.9419], [0.8703, 0.7406, 0.0581], [0.3866, 0.7731, 0.6997], [0.6134, 0.2269, 0.3003], [0.6741, 0.3481, 0.0584], [0.3259, 0.6519, 0.9416], [0.9394, 0.8789, 0.8055], [0.0606, 0.1211, 0.1945], [0.6514, 0.3027, 0.6590], [0.3486, 0.6973, 0.3410]], "formation_energy_kj_per_mol_fu": -189, "dft_energy_ev_per_cell": -35.7, "mass_density_g_cm3": 3.8}

=====

{"formula": "PrGa2RuRh", "functional": "PBE-GGA", "state": "relaxed", "lattice_angstrom": [[4.4104, 0.0000, 0.0000], [0.0000, 4.4104, 0.0000], [-2.2052, -2.2052, 4.8629]], "species": ["Pr", "Ru", "Rh", "Ga", "Ga"], "frac_coords": [[0.0000, 0.0000, 0.0000], [0.2500, 0.7500, 0.5000], [0.7500, 0.2500, 0.5000], [0.3660, 0.3660, 0.7320], [0.6340, 0.6340, 0.2680]], "formation_energy_kj_per_mol_fu": -301, "dft_energy_ev_per_cell": -30.6, "mass_density_g_cm3": 8.5}

=====

{"formula": "CaTlAs2", "functional": "PBE-GGA", "state": "relaxed", "lattice_angstrom": [[0.0000, 3.6749, 3.6749], [3.6749, 0.0000, 3.6749], [3.6749, 3.6749, 0.0000]], "species": ["As", "As", "Ca", "Tl"], "frac_coords": [[0.2500, 0.2500, 0.2500], [0.7500, 0.7500, 0.7500], [0.0000, 0.0000, 0.0000], [0.5000, 0.5000, 0.5000]], "formation_energy_kj_per_mol_fu": -73, "dft_energy_ev_per_cell": -14.4, "mass_density_g_cm3": 6.6, "e_above_lowest_polymorph_mev_per_atom": 309}

=====

{"formula": "Ag5Hg12Au3", "functional": "PBE-GGA", "state": "relaxed", "lattice_angstrom": [[14.3930, 0.0000, 0.0000], [-4.7977, 13.5698, 0.0000], [-4.7977, -6.7849, 11.7518]], "species": ["Hg", "Hg", "Hg", "Hg", "Hg", "Hg", "Hg", "Hg", "Hg", "Hg", "Hg", "Hg", "Hg", "Hg", "Hg", "Hg", "Hg", "Hg", "Hg", "Hg", "Hg", "Hg", "Hg", "Hg", "Hg", "Hg", "Hg", "Hg", "Hg", "Hg", "Hg", "Hg", "Hg", "Hg", "Hg", "Hg", "Hg", "Hg", "Hg", "Hg", "Hg", "Hg", "Hg", "Hg", "Hg", "Hg", "Hg", "Hg", "Au", "Au", "Au", "Au", "Au", "Au", "Au", "Au", "Au", "Au", "Au", "Au", "Ag", "Ag", "Ag", "Ag", "Ag", "Ag", "Ag", "Ag", "Ag", "Ag", "Ag", "Ag", "Ag", "Ag", "Ag", "Ag", "Ag", "Ag", "Ag", "Ag"], "frac_coords": [[0.3703, 0.9388, 0.7702], [0.1686, 0.1001, 0.7298], [0.3703, 0.4315, 0.1001], [0.9315, 0.8314, 0.5612], [0.4388, 0.6686, 0.0685], [0.8999, 0.0685, 0.6297], [0.4315, 0.0612, 0.3314], [0.8314, 0.8999, 0.2702], [0.6001, 0.7298, 0.6686], [0.7298, 0.6001, 0.1686], [0.9388, 0.5685, 0.1686], [0.5612, 0.2298, 0.1297], [0.1297, 0.7298, 0.5612], [0.7702, 0.3314, 0.8999], [0.0685, 0.8999, 0.1297], [0.0685, 0.1686, 0.4388], [0.6686, 0.4388, 0.5685], [0.8314, 0.9315, 0.0612], [0.9388, 0.3703, 0.2702], [0.5685, 0.9388, 0.6686], [0.8999, 0.8314, 0.7702], [0.3314, 0.7702, 0.3999], [0.6001, 0.8703, 0.4315], [0.1001, 0.9315, 0.3703], [0.7702, 0.4388, 0.3703], [0.3999, 0.2702, 0.3314], [0.4388, 0.7702, 0.8703], [0.7298, 0.1297, 0.0612], [0.8703, 0.2702, 0.4388], [0.0612, 0.4315, 0.8314], [0.3314, 0.5612, 0.4315], [0.6686, 0.2298, 0.6001], [0.2702, 0.8703, 0.9388], [0.8703, 0.6001, 0.9315], [0.1297, 0.3999, 0.0685], [0.5685, 0.6297, 0.3999], [0.4315, 0.3703, 0.6001], [0.2702, 0.3999, 0.8314], [0.6297, 0.0612, 0.2298], [0.2298, 0.6686, 0.1001], [0.6297, 0.5685, 0.8999], [0.1001, 0.1686, 0.2298], [0.2298, 0.5612, 0.6297], [0.5612, 0.3314, 0.9315], [0.1686, 0.0685, 0.9388], [0.3999, 0.1297, 0.5685], [0.9315, 0.1001, 0.8703], [0.0612, 0.6297, 0.7298], [0.7500, 0.3750, 0.1250], [0.6250, 0.3750, 0.7500], [0.1250, 0.2500, 0.8750], [0.3750, 0.7500, 0.6250], [0.2500, 0.6250, 0.8750], [0.8750, 0.7500, 0.1250], [0.2500, 0.1250, 0.3750], [0.1250, 0.8750, 0.7500], [0.8750, 0.1250, 0.2500], [0.3750, 0.6250, 0.2500], [0.7500, 0.8750, 0.6250], [0.6250, 0.2500, 0.3750], [0.8750, 0.6250, 0.7500], [0.7500, 0.1250, 0.8750], [0.5000, 0.0000, 0.0000], [0.6250, 0.7500, 0.8750], [0.3750, 0.2500, 0.1250], [0.7500, 0.6250, 0.3750], [0.0000, 0.5000, 0.5000], [0.2500, 0.3750, 0.6250], [0.1250, 0.7500, 0.3750], [0.0000, 0.5000, 0.0000], [0.2500, 0.8750, 0.1250], [0.5000, 0.5000, 0.0000], [0.3750, 0.1250, 0.7500], [0.1250, 0.3750, 0.2500], [0.5000, 0.5000, 0.5000], [0.8750, 0.2500, 0.6250], [0.6250, 0.8750, 0.2500], [0.5000, 0.0000, 0.5000], [0.0000, 0.0000, 0.5000], [0.0000, 0.0000, 0.0000]], "formation_energy_kj_per_mol_fu": 372, "dft_energy_ev_per_cell": -95.4, "mass_density_g_cm3": 10.2}

=====

{"formula": "LaCe2Si", "functional": "PBE-GGA", "state": "relaxed", "lattice_angstrom": [[-3.5472, -2.5428, -0.8109], [-2.2793, -1.7708, 3.3726], [-5.9257, 4.0576, 1.0472]], "species": ["La", "Ce", "Ce", "Si"], "frac_coords": [[0.4774, 0.4774, 0.5678], [0.2755, 0.2755, 0.1734], [0.0739, 0.0739, 0.7783], [0.6732, 0.6732, 0.9804]], "dft_energy_ev_per_cell": -22.6, "mass_density_g_cm3": 6.4, "e_above_lowest_polymorph_mev_per_atom": 291, "formation_energy_uncorrected_mev_per_atom": -95}

=====

{"formula": "ZrGaCu", "functional": "PBE-GGA", "state": "relaxed", "lattice_angstrom": [[-1.2600, -2.0578, -1.9316], [4.2018, -2.7224, 0.1593], [-0.9223, -4.3934, 5.2821]], "species": ["Zr", "Zr", "Ga", "Ga", "Cu", "Cu"], "frac_coords": [[0.5607, 0.3301, 0.4347], [0.5607, 0.5496, 0.8242], [0.0606, 0.0592, 0.7950], [0.0606, 0.8205, 0.4639], [0.0613, 0.6948, 0.1279], [0.0612, 0.1854, 0.1312]], "formation_energy_kj_per_mol_fu": -85, "dft_energy_ev_per_cell": -33.1, "mass_density_g_cm3": 7.2}

=====

{"formula": "Tb3Ho2Er6Tm", "functional": "PBE-GGA", "state": "relaxed", "lattice_angstrom": [[6.0823, 0.0021, 0.0004], [-3.0378, 5.2693, 0.0004], [-1.0109, -1.7504, 11.4583]], "species": ["Tb", "Tb", "Tb", "Ho", "Ho", "Er", "Er", "Er", "Er", "Er", "Er", "Tm"], "frac_coords": [[0.8333, 0.1667, 0.5000], [0.5000, 0.5000, 0.5000], [0.1667, 0.8333, 0.5000], [0.3334, 0.6666, 0.0000], [0.6666, 0.3334, 0.0000], [0.0827, 0.4159, 0.2486], [0.7497, 0.7497, 0.2488], [0.9173, 0.5841, 0.7514], [0.4159, 0.0827, 0.2486], [0.2503, 0.2503, 0.7512], [0.5841, 0.9173, 0.7514], [0.0000, 0.0000, 0.0000]], "formation_energy_kj_per_mol_fu": 24, "dft_energy_ev_per_cell": -54.7, "mass_density_g_cm3": 8.9}

=====

{"formula": "Cu3AgO4", "functional": "PBE-GGA", "state": "relaxed", "lattice_angstrom": [[-0.8307, 3.1447, 4.5398], [-4.8522, -2.6078, 0.9186], [2.6372, -3.8077, 3.1201]], "species": ["Cu", "Cu", "Cu", "Cu", "Cu", "Cu", "O", "O", "O", "O", "O", "O", "O", "O", "Ag", "Ag"], "frac_coords": [[0.5000, 0.2500, 0.0000], [0.5000, 0.7500, 0.0000], [0.2500, 0.0000, 0.5000], [0.0000, 0.5000, 0.7500], [0.0000, 0.5000, 0.2500], [0.7500, 0.0000, 0.5000], [0.2500, 0.2500, 0.7500], [0.7500, 0.2500, 0.7500], [0.2500, 0.2500, 0.2500], [0.7500, 0.7500, 0.2500], [0.2500, 0.7500, 0.7500], [0.7500, 0.7500, 0.7500], [0.2500, 0.7500, 0.2500], [0.7500, 0.2500, 0.2500], [0.5000, 0.5000, 0.5000], [0.0000, 0.0000, 0.0000]], "dft_energy_ev_per_cell": -75.8, "mass_density_g_cm3": 6.9, "formation_energy_uncorrected_mev_per_atom": -365}

=====

{"formula": "KSiTe2", "functional": "PBE-GGA", "state": "relaxed", "lattice_angstrom": [[3.5133, 0.0000, 0.0000], [0.0000, 3.5133, 0.0000], [0.0000, 0.0000, 9.9927]], "species": ["Te", "Te", "Si", "K"], "frac_coords": [[0.5000, 0.5000, 0.2711], [0.0000, 0.0000, 0.9118], [0.5000, 0.5000, 0.7883], [0.0000, 0.0000, 0.5288]], "dft_energy_ev_per_cell": -13.0, "mass_density_g_cm3": 4.3, "formation_energy_uncorrected_mev_per_atom": -45}

=====

{"formula": "Ag4Hg2Pd", "functional": "PBE-GGA", "state": "relaxed", "lattice_angstrom": [[5.1153, 0.0000, 0.0000], [0.0000, 5.1153, 0.0000], [2.5576, 2.5576, 6.9398]], "species": ["Ag", "Ag", "Ag", "Ag", "Pd", "Hg", "Hg"], "frac_coords": [[0.1906, 0.1906, 0.6188], [0.0000, 0.5000, 0.0000], [0.5000, 0.0000, 0.0000], [0.8094, 0.8094, 0.3812], [0.0000, 0.0000, 0.0000], [0.6142, 0.6142, 0.7717], [0.3858, 0.3858, 0.2283]], "formation_energy_kj_per_mol_fu": 308, "dft_energy_ev_per_cell": -14.0, "mass_density_g_cm3": 8.6}

=====

{"formula": "CaIn3Sn3", "functional": "PBE-GGA", "state": "relaxed", "lattice_angstrom": [[-3.6125, -4.5346, -5.5993], [0.9309, -6.5049, 4.6675], [-7.1448, 1.4452, 3.4392]], "species": ["In", "In", "In", "In", "In", "In", "Ca", "Ca", "Sn", "Sn", "Sn", "Sn", "Sn", "Sn"], "frac_coords": [[0.7500, 0.5000, 0.0000], [0.0000, 0.7500, 0.5000], [0.5000, 0.0000, 0.2500], [0.5000, 0.0000, 0.7500], [0.0000, 0.2500, 0.5000], [0.2500, 0.5000, 0.0000], [0.0000, 0.0000, 0.0000], [0.5000, 0.5000, 0.5000], [0.7500, 0.0000, 0.5000], [0.5000, 0.7500, 0.0000], [0.2500, 0.0000, 0.5000], [0.0000, 0.5000, 0.2500], [0.0000, 0.5000, 0.7500], [0.5000, 0.2500, 0.0000]], "formation_energy_kj_per_mol_fu": 120, "dft_energy_ev_per_cell": -42.0, "mass_density_g_cm3": 4.7, "e_above_lowest_polymorph_mev_per_atom": 284}

=====

{"formula": "ReNi2Pt", "functional": "PBE-GGA", "state": "relaxed", "lattice_angstrom": [[-1.2706, 1.4074, -1.8743], [-2.7625, -2.4228, 0.0535], [-2.4405, 2.8668, 3.8070]], "species": ["Ni", "Ni", "Re", "Pt"], "frac_coords": [[0.0000, 0.0000, 0.5147], [0.0000, 0.0000, 0.9853], [0.5000, 0.5000, 0.7500], [0.5000, 0.5000, 0.2500]], "formation_energy_kj_per_mol_fu": -17, "dft_energy_ev_per_cell": -30.2, "mass_density_g_cm3": 15.8, "e_above_lowest_polymorph_mev_per_atom": 39}

=====

{"formula": "La3AuC", "functional": "PBE-GGA", "state": "relaxed", "lattice_angstrom": [[3.4932, -9.7194, 0.0000], [3.4932, 9.7194, 0.0000], [0.0000, 0.0000, 5.5710]], "species": ["La", "La", "La", "La", "La", "La", "C", "C", "Au", "Au"], "frac_coords": [[0.5900, 0.9468, 0.2500], [0.9468, 0.5900, 0.7500], [0.4100, 0.0532, 0.7500], [0.0000, 0.0000, 0.5000], [0.0000, 0.0000, 0.0000], [0.0532, 0.4100, 0.2500], [0.2519, 0.7481, 0.2500], [0.7481, 0.2519, 0.7500], [0.8564, 0.1436, 0.7500], [0.1436, 0.8564, 0.2500]], "formation_energy_kj_per_mol_fu": 217, "dft_energy_ev_per_cell": -50.1, "mass_density_g_cm3": 5.5, "e_above_lowest_polymorph_mev_per_atom": 831}

=====

{"formula": "CdOs2Br", "functional": "PBE-GGA", "state": "relaxed", "lattice_angstrom": [[-8.4326, 1.2804, 3.2882], [-7.9735, -1.4533, 4.2275], [-7.0134, 0.8169, 5.8056]], "species": ["Os", "Os", "Cd", "Br"], "frac_coords": [[0.9961, 0.9961, 0.9961], [0.5039, 0.5039, 0.5039], [0.7500, 0.7500, 0.7500], [0.2500, 0.2500, 0.2500]], "dft_energy_ev_per_cell": -20.8, "mass_density_g_cm3": 14.3, "e_above_lowest_polymorph_mev_per_atom": 637, "formation_energy_uncorrected_mev_per_atom": 1072}

=====

{"formula": "Cd2RuPt", "functional": "PBE-GGA", "state": "relaxed", "lattice_angstrom": [[-1.2464, -2.6162, 0.0938], [1.1310, -0.4445, 2.6325], [-6.8553, 3.3923, 3.5180]], "species": ["Cd", "Cd", "Ru", "Pt"], "frac_coords": [[0.0000, 0.0000, 0.9749], [0.5000, 0.5000, 0.2722], [0.5000, 0.5000, 0.7314], [0.0000, 0.0000, 0.5215]], "formation_energy_kj_per_mol_fu": 33, "dft_energy_ev_per_cell": -16.8, "mass_density_g_cm3": 12.2}

=====

{"formula": "HoGe2O4", "functional": "PBE-GGA", "state": "relaxed", "lattice_angstrom": [[5.8447, 0.0053, 0.0000], [-2.8094, 5.1252, 0.0000], [-1.5176, -2.5653, 5.0276]], "species": ["O", "O", "O", "O", "Ge", "Ge", "Ho"], "frac_coords": [[0.5001, 0.8143, 0.3145], [0.8143, 0.4999, 0.3142], [0.4999, 0.1857, 0.6855], [0.1857, 0.5001, 0.6858], [0.7500, 0.2500, 0.5000], [0.2500, 0.7500, 0.5000], [0.5000, 0.5000, 0.0000]], "dft_energy_ev_per_cell": -43.7, "mass_density_g_cm3": 4.1, "formation_energy_uncorrected_mev_per_atom": -1431}

=====

{"formula": "MnCu2Pb", "functional": "PBE-GGA", "state": "relaxed", "lattice_angstrom": [[-2.1077, -8.3439, 0.7609], [0.8325, -8.3978, 1.8511], [-1.5336, -7.6260, 3.7595]], "species": ["Pb", "Cu", "Cu", "Mn"], "frac_coords": [[0.7500, 0.7500, 0.7500], [0.9889, 0.9889, 0.9889], [0.5111, 0.5111, 0.5111], [0.2500, 0.2500, 0.2500]], "formation_energy_kj_per_mol_fu": 164, "dft_energy_ev_per_cell": -19.4, "mass_density_g_cm3": 9.0}

=====

{"formula": "FeSnSe3", "functional": "PBE-GGA", "state": "relaxed", "lattice_angstrom": [[4.7701, 0.0000, 0.0000], [0.0000, 4.7701, 0.0000], [0.0000, 0.0000, 4.7701]], "species": ["Se", "Se", "Se", "Fe", "Sn"], "frac_coords": [[0.5000, 0.0000, 0.0000], [0.0000, 0.0000, 0.5000], [0.0000, 0.5000, 0.0000], [0.0000, 0.0000, 0.0000], [0.5000, 0.5000, 0.5000]], "dft_energy_ev_per_cell": -22.6, "mass_density_g_cm3": 6.3, "e_above_lowest_polymorph_mev_per_atom": 0, "formation_energy_uncorrected_mev_per_atom": 68}